Below is a relaxed structure of TbScSnRh, with properties calculated at the PBE level.

Unit cell a=4.9740 b=4.9740 c=4.9740 alpha=60.00 beta=60.00 gamma=60.00
Closest atoms and distances in Å follow each position.
Atoms (fractional coordinates):
Tb1 0.0000 0.0000 0.0000  4 Sn 3.05, 4 Rh 3.05
Sc1 0.5000 0.5000 0.5000  4 Sn 3.05, 4 Rh 3.05
Sn1 0.7500 0.7500 0.7500  4 Tb 3.05, 4 Sc 3.05
Rh1 0.2500 0.2500 0.2500  4 Tb 3.05, 4 Sc 3.05

Computed properties:
ρ   8.12 g cm⁻³
Space group   F-43m
Energy of formation   -0.649 eV/atom
Uncorrected energy   -24.91 eV per cell

---

Below is a relaxed structure of BaTa3Pd, with properties calculated at the PBE level.

Unit cell a=5.0081 b=5.0081 c=5.0081 alpha=90.00 beta=90.00 gamma=90.00
Closest atoms and distances in Å follow each position.
Atoms (fractional coordinates):
Ba1 0.0000 0.0000 0.0000  6 Ta 2.50
Ta1 0.0000 0.0000 0.5000  2 Ba 2.50
Ta2 0.0000 0.5000 0.0000  2 Ba 2.50
Ta3 0.5000 0.0000 0.0000  2 Ba 2.50
Pd1 0.5000 0.5000 0.5000  12 Ta 3.54

Computed properties:
ρ   10.40 g cm⁻³
Space group   Pm-3m
Polymorph energy (0 for the lowest one)   1623.5 meV/atom
Energy of formation   2.980 eV/atom
Uncorrected energy   -27.77 eV per cell

---

Below is a relaxed structure of Nd2ZnCu3Ni12, with properties calculated at the PBE level.

Unit cell a=9.3137 b=9.3137 c=9.3137 alpha=37.36 beta=37.36 gamma=37.36
Closest atoms and distances in Å follow each position.
Atoms (fractional coordinates):
Nd1 0.1516 0.1516 0.1516  6 Ni 2.95-3.03
Nd2 0.8484 0.8484 0.8484  6 Ni 2.95-3.03
Zn1 0.5000 0.5000 0.5000  6 Ni 2.37
Cu1 0.0000 0.5000 0.5000  6 Ni 2.34-2.46
Cu2 0.5000 0.0000 0.5000  6 Ni 2.34-2.46
Cu3 0.5000 0.5000 0.0000  6 Ni 2.34-2.46
Ni1 0.0793 0.0793 0.6894  4 Ni 2.33-2.35, 2 Cu 2.34
Ni2 0.0793 0.6894 0.0793  4 Ni 2.33-2.35, 2 Cu 2.34
Ni3 0.1498 0.5663 0.5663  4 Ni 2.35-2.48, 1 Zn 2.37, 1 Cu 2.46
Ni4 0.3106 0.9207 0.9207  4 Ni 2.33-2.35, 2 Cu 2.34
Ni5 0.4337 0.4337 0.8502  4 Ni 2.35-2.48, 1 Zn 2.37, 1 Cu 2.46
Ni6 0.4337 0.8502 0.4337  4 Ni 2.35-2.48, 1 Zn 2.37, 1 Cu 2.46
Ni7 0.5663 0.1498 0.5663  4 Ni 2.35-2.48, 1 Zn 2.37, 1 Cu 2.46
Ni8 0.5663 0.5663 0.1498  4 Ni 2.35-2.48, 1 Zn 2.37, 1 Cu 2.46
Ni9 0.6894 0.0793 0.0793  4 Ni 2.33-2.35, 2 Cu 2.34
Ni10 0.8502 0.4337 0.4337  4 Ni 2.35-2.48, 1 Zn 2.37, 1 Cu 2.46
Ni11 0.9207 0.3106 0.9207  4 Ni 2.33-2.35, 2 Cu 2.34
Ni12 0.9207 0.9207 0.3106  4 Ni 2.33-2.35, 2 Cu 2.34

Computed properties:
ρ   7.78 g cm⁻³
Space group   R-3m
Energy of formation   0.222 eV/atom
Uncorrected energy   -88.47 eV per cell

---

Below is a relaxed structure of FeSiSeBr2, with properties calculated at the PBE level.

Unit cell a=5.0300 b=5.0300 c=5.0396 alpha=90.00 beta=90.00 gamma=90.00
Closest atoms and distances in Å follow each position.
Atoms (fractional coordinates):
Fe1 0.0000 0.0000 0.0000  4 Se 3.56, 8 Br 3.56
Si1 0.5000 0.5000 0.5000  4 Br 2.51, 2 Se 2.52
Se1 0.5000 0.5000 0.0000  2 Si 2.52
Br1 0.0000 0.5000 0.5000  2 Si 2.51
Br2 0.5000 0.0000 0.5000  2 Si 2.51

Computed properties:
ρ   4.20 g cm⁻³
Space group   P4/mmm
Polymorph energy (0 for the lowest one)   98.3 meV/atom
Uncorrected energy   -17.98 eV per cell

---

Below is a relaxed structure of Mg3TcP, with properties calculated at the PBE level.

Unit cell a=4.8038 b=4.8038 c=4.8038 alpha=90.00 beta=90.00 gamma=90.00
Closest atoms and distances in Å follow each position.
Atoms (fractional coordinates):
Mg1 0.0000 0.0000 0.5000  2 P 2.40
Mg2 0.0000 0.5000 0.0000  2 P 2.40
Mg3 0.5000 0.0000 0.0000  2 P 2.40
Tc1 0.5000 0.5000 0.5000  12 Mg 3.40
P1 0.0000 0.0000 0.0000  6 Mg 2.40

Computed properties:
ρ   3.02 g cm⁻³
Space group   Pm-3m
Polymorph energy (0 for the lowest one)   0.0 meV/atom
Energy of formation   0.597 eV/atom
Uncorrected energy   -17.57 eV per cell

---

Below is a relaxed structure of Er2CI3, with properties calculated at the PBE level.

Unit cell a=9.9866 b=9.9866 c=11.3577 alpha=109.88 beta=109.88 gamma=23.04
Closest atoms and distances in Å follow each position.
Atoms (fractional coordinates):
Er1 0.0645 0.0645 0.1932  2 C 2.45
Er2 0.3991 0.3991 0.0579  2 C 2.28-2.50
Er3 0.6009 0.6009 0.9421  2 C 2.28-2.50
Er4 0.9355 0.9355 0.8068  2 C 2.45
C1 0.4830 0.4830 0.9343  1 C 1.41
C2 0.5170 0.5170 0.0657  1 C 1.41
I1 0.0757 0.0757 0.7274  3 Er 3.05-3.17
I2 0.2045 0.2045 0.1257  3 Er 3.08-3.09
I3 0.3689 0.3689 0.5948  2 Er 3.05
I4 0.6311 0.6311 0.4052  2 Er 3.05
I5 0.7955 0.7955 0.8743  3 Er 3.08-3.09
I6 0.9243 0.9243 0.2726  3 Er 3.05-3.17

Computed properties:
ρ   5.81 g cm⁻³
Space group   C2/m
Uncorrected energy   -57.86 eV per cell

---

Below is a relaxed structure of LaPmZn, with properties calculated at the PBE level.

Unit cell a=7.1850 b=7.1855 c=8.7855 alpha=111.99 beta=112.04 gamma=94.63
Closest atoms and distances in Å follow each position.
Atoms (fractional coordinates):
La1 0.0119 0.2620 0.0241  4 Zn 3.16-3.18, 1 La 3.31
La2 0.2391 0.4884 0.4760  4 Zn 3.16-3.18, 1 La 3.31
La3 0.7609 0.5116 0.5240  4 Zn 3.16-3.18, 1 La 3.31
La4 0.9881 0.7380 0.9759  4 Zn 3.16-3.18, 1 La 3.31
Pm1 0.2531 0.0030 0.5065  4 Zn 3.08-3.12
Pm2 0.4971 0.2473 0.9935  4 Zn 3.08-3.12
Pm3 0.5029 0.7527 0.0065  4 Zn 3.08-3.12
Pm4 0.7469 0.9970 0.4935  4 Zn 3.08-3.12
Zn1 0.1324 0.3676 0.7498  4 Pm 3.08-3.12, 4 La 3.16-3.18
Zn2 0.3823 0.1172 0.2497  4 Pm 3.08-3.12, 4 La 3.16-3.18
Zn3 0.6177 0.8828 0.7503  4 Pm 3.08-3.12, 4 La 3.16-3.18
Zn4 0.8676 0.6324 0.2502  4 Pm 3.08-3.12, 4 La 3.16-3.18

Computed properties:
ρ   6.16 g cm⁻³
Space group   P-1
Polymorph energy (0 for the lowest one)   213.6 meV/atom
Energy of formation   0.016 eV/atom
Uncorrected energy   -43.62 eV per cell

---

Below is a relaxed structure of Mg2ZnCd2, with properties calculated at the PBE level.

Unit cell a=4.5055 b=3.1696 c=7.6896 alpha=90.00 beta=106.92 gamma=90.00
Closest atoms and distances in Å follow each position.
Atoms (fractional coordinates):
Mg1 0.1021 0.0000 0.2053  3 Mg 3.02-3.17, 4 Cd 3.04-3.05, 4 Zn 3.14
Mg2 0.8979 0.0000 0.7947  3 Mg 3.02-3.17, 4 Cd 3.04-3.05, 4 Zn 3.14
Zn1 0.5000 0.5000 0.0000  2 Cd 2.80
Cd1 0.3095 0.5000 0.6196  1 Zn 2.80, 2 Cd 2.86, 4 Mg 3.04-3.05
Cd2 0.6905 0.5000 0.3804  1 Zn 2.80, 2 Cd 2.86, 4 Mg 3.04-3.05

Computed properties:
ρ   5.36 g cm⁻³
Space group   P2/m
Polymorph energy (0 for the lowest one)   1.1 meV/atom
Energy of formation   -0.026 eV/atom
Uncorrected energy   -6.42 eV per cell

---

Below is a relaxed structure of ErAgPdPt, with properties calculated at the PBE level.

Unit cell a=3.9737 b=4.1723 c=4.3416 alpha=90.00 beta=90.00 gamma=90.00
Closest atoms and distances in Å follow each position.
Atoms (fractional coordinates):
Er1 0.0000 0.0000 0.0000  4 Pt 2.88, 4 Pd 2.94, 4 Ag 3.01
Ag1 0.0000 0.5000 0.5000  4 Pd 2.88, 4 Pt 2.94, 4 Er 3.01
Pd1 0.5000 0.0000 0.5000  4 Ag 2.88, 4 Er 2.94, 4 Pt 3.01
Pt1 0.5000 0.5000 0.0000  4 Er 2.88, 4 Ag 2.94, 4 Pd 3.01

Computed properties:
ρ   13.30 g cm⁻³
Space group   Pmmm
Polymorph energy (0 for the lowest one)   0.0 meV/atom
Energy of formation   -0.797 eV/atom
Uncorrected energy   -21.83 eV per cell

---

Below is a relaxed structure of RbGeSb2, with properties calculated at the PBE level.

Unit cell a=7.1873 b=7.1873 c=7.1873 alpha=107.81 beta=107.81 gamma=112.85
Closest atoms and distances in Å follow each position.
Atoms (fractional coordinates):
Rb1 0.0000 0.0000 0.0000  8 Sb 3.71-3.90, 2 Ge 3.97
Rb2 0.7500 0.2500 0.5000  8 Sb 3.71-3.90, 2 Ge 3.97
Ge1 0.2500 0.7500 0.5000  4 Sb 2.70
Ge2 0.5000 0.5000 0.0000  4 Sb 2.70
Sb1 0.2157 0.6250 0.0907  2 Ge 2.70
Sb2 0.3750 0.4657 0.5907  2 Ge 2.70
Sb3 0.5343 0.1250 0.9093  2 Ge 2.70
Sb4 0.8750 0.7843 0.4093  2 Ge 2.70

Computed properties:
ρ   4.68 g cm⁻³
Space group   I-42d
Uncorrected energy   -27.89 eV per cell